Entry from Alexandria: a relaxed structure of MgTaRh (GGA-PBE).

Lattice parameters (Å, degrees): 5.3068 4.5130 6.2609 75.57 64.93 53.99
Atoms (fractional coordinates):
Mg: 0.7500 0.5000 0.5000
Mg: 0.2500 0.5000 0.5000
Ta: 0.8055 0.3889 0.0000
Ta: 0.1945 0.6111 0.0000
Rh: 0.6167 0.0000 0.7666
Rh: 0.3833 0.0000 0.2334

Summary:
Excess energy over the best structure of this formula in the dataset (kJ/mol of atoms): 39.2
Theoretical density (g cm⁻³): 9.316
Formation energy (kJ per mole of atoms): 17.9
Spin magnetization (μB/f.u.): 0.00